VASP calculation (GGA-PBEsol) on an optimized crystal structure of BaCrTc2.

D(E_F)	5.826	states/eV/f.u.
relative energy among the computed polymorphs	0.436	eV/f.u.
space-group type	Cmmm (65)
energy relative to the elements	1507	meV/atom

Unit cell a=5.284 b=9.768 c=2.873 alpha=90.00 beta=90.00 gamma=90.00
Element x y z (fractional)
Ba1 0.000 0.000 0.000
Ba2 0.500 0.500 0.000
Cr1 0.000 0.500 0.000
Cr2 0.500 0.000 0.000
Tc1 0.250 0.250 0.500
Tc2 0.250 0.750 0.500
Tc3 0.750 0.250 0.500
Tc4 0.750 0.750 0.500


VASP calculation (GGA-PBEsol) on an optimized crystal structure of Sr2TlAg.

D(E_F)	2.881	states/eV/f.u.
space-group type	Cm (8)
energy relative to the elements	-248	meV/atom

Unit cell a=12.180 b=3.823 c=5.559 alpha=90.00 beta=110.20 gamma=90.00
Element x y z (fractional)
Sr1 0.000 0.000 0.000
Sr2 0.203 0.000 0.654
Sr3 0.500 0.500 0.000
Sr4 0.703 0.500 0.654
Tl1 0.439 0.000 0.449
Tl2 0.939 0.500 0.449
Ag1 0.248 0.500 0.186
Ag2 0.748 0.000 0.186


| no. | size of the total moment (μB per cell) | ρ (g/cm3) |
| --- | --- | --- |
| 1 | 5.52 | 8.6 |
| 2 | 0.00 | 6.7 |